! HoTmRhPb PBE optimized geometry; values from VASP
&SYSTEM
  ibrav = 0, nat = 4, ntyp = 4
/
ATOMIC_SPECIES
Rh 102.91 Rh.upf
Pb 207.20 Pb.upf
Tm 168.93 Tm.upf
Ho 164.93 Ho.upf
CELL_PARAMETERS angstrom
3.462 0.000 0.000
0.000 3.462 0.000
0.000 0.000 7.947
ATOMIC_POSITIONS angstrom
Rh 0.000 0.000 4.512
Pb 0.000 0.000 0.586
Tm 1.731 1.731 2.903
Ho 1.731 1.731 6.183
! Size of the total moment, μB per atom: 0.000
! Uncorrected energy, eV/atom: -5.73
! Space-group type: P4mm, No. 99
! Excess energy over the best structure of this formula in the dataset, meV/atom: 0
! Energy relative to the elements, eV/atom: -0.70